Record 1
DFT (GGA-PBE) results for NaAcPrDy after structural relaxation.

a = 8.369 Å, b = 8.369 Å, c = 8.369 Å
α = 90.00°, β = 90.00°, γ = 90.00°
Sites, in units of the cell vectors:
Na (0.000, 0.000, 0.000)
Na (0.000, 0.500, 0.500)
Na (0.500, 0.000, 0.500)
Na (0.500, 0.500, 0.000)
Ac (0.250, 0.250, 0.750)
Ac (0.250, 0.750, 0.250)
Ac (0.750, 0.250, 0.250)
Ac (0.750, 0.750, 0.750)
Pr (0.250, 0.250, 0.250)
Pr (0.250, 0.750, 0.750)
Pr (0.750, 0.250, 0.750)
Pr (0.750, 0.750, 0.250)
Dy (0.000, 0.000, 0.500)
Dy (0.000, 0.500, 0.000)
Dy (0.500, 0.000, 0.000)
Dy (0.500, 0.500, 0.500)

Computed properties:
Volume, Å³/atom: 36.63
Mass density, g/cm3: 6.3
E_form, eV per atom: 0.24
Calculated total energy, eV/atom: -3.46

Record 2
DFT (GGA-PBE) results for Hf12FeSn6 after structural relaxation.

a = 7.864 Å, b = 7.864 Å, c = 7.864 Å
α = 100.53°, β = 100.53°, γ = 100.53°
Sites, in units of the cell vectors:
Hf (0.012, 0.312, 0.057)
Hf (0.057, 0.012, 0.312)
Hf (0.215, 0.402, 0.518)
Hf (0.312, 0.057, 0.012)
Hf (0.402, 0.518, 0.215)
Hf (0.482, 0.785, 0.598)
Hf (0.518, 0.215, 0.402)
Hf (0.598, 0.482, 0.785)
Hf (0.688, 0.943, 0.988)
Hf (0.785, 0.598, 0.482)
Hf (0.943, 0.988, 0.688)
Hf (0.988, 0.688, 0.943)
Fe (0.000, 0.000, 0.000)
Sn (0.107, 0.663, 0.331)
Sn (0.331, 0.107, 0.663)
Sn (0.337, 0.669, 0.893)
Sn (0.663, 0.331, 0.107)
Sn (0.669, 0.893, 0.337)
Sn (0.893, 0.337, 0.669)

Computed properties:
Volume, Å³/atom: 24.12
Mass density, g/cm3: 10.5
E_form, eV per atom: 0.02
Calculated total energy, eV/atom: -7.97